Record 1
{"formula": "LaPr2Ga2Co4", "functional": "PBE-GGA", "state": "relaxed", "lattice": [[-2.976, 3.407, 3.122], [-4.617, -0.410, 2.954], [5.364, -2.557, 5.720]], "species": ["Co", "Ga", "Co", "Co", "Ga", "Co", "Pr", "La", "Pr"], "frac_coords": [[0.753, 0.753, 0.579], [0.675, 0.675, 0.277], [0.923, 0.923, 0.872], [0.247, 0.247, 0.421], [0.325, 0.325, 0.723], [0.077, 0.077, 0.128], [0.371, 0.371, 0.124], [0.000, 0.000, 0.500], [0.629, 0.629, 0.876]]}



Record 2
{"formula": "La3GaCoS7", "functional": "PBE-GGA", "state": "relaxed", "lattice": [[10.160, 0.000, 0.000], [-5.080, 8.799, 0.000], [0.000, 0.000, 5.988]], "species": ["S", "La", "La", "S", "S", "La", "S", "S", "S", "S", "La", "Co", "Ga", "S", "S", "Ga", "S", "S", "Co", "La", "S", "S", "La", "S"], "frac_coords": [[0.096, 0.516, 0.509], [0.229, 0.370, 0.783], [0.630, 0.859, 0.783], [0.084, 0.865, 0.239], [0.135, 0.219, 0.239], [0.771, 0.630, 0.283], [0.916, 0.135, 0.739], [0.421, 0.904, 0.509], [0.865, 0.781, 0.739], [0.333, 0.667, 0.988], [0.859, 0.229, 0.283], [0.000, 0.000, 0.491], [0.667, 0.333, 0.861], [0.484, 0.579, 0.509], [0.667, 0.333, 0.488], [0.333, 0.667, 0.361], [0.904, 0.484, 0.009], [0.781, 0.916, 0.239], [0.000, 0.000, 0.991], [0.141, 0.771, 0.783], [0.579, 0.096, 0.009], [0.219, 0.084, 0.739], [0.370, 0.141, 0.283], [0.516, 0.421, 0.009]]}



Record 3
{"formula": "LaSm2Ga2Co4", "functional": "PBE-GGA", "state": "relaxed", "lattice": [[5.011, -2.065, 0.000], [5.011, 2.065, 0.000], [-1.254, 0.000, 8.058]], "species": ["Ga", "Ga", "La", "Co", "Co", "Sm", "Co", "Co", "Sm"], "frac_coords": [[0.676, 0.676, 0.774], [0.324, 0.324, 0.226], [0.000, 0.000, 0.000], [0.750, 0.750, 0.079], [0.922, 0.922, 0.376], [0.371, 0.371, 0.622], [0.078, 0.078, 0.624], [0.250, 0.250, 0.921], [0.629, 0.629, 0.378]]}



Record 4
{"formula": "Li2Mg2Ga2CoPd", "functional": "PBE-GGA", "state": "relaxed", "lattice": [[4.326, 0.000, 0.000], [0.000, 4.326, 0.000], [0.000, 0.000, 6.194]], "species": ["Pd", "Li", "Co", "Mg", "Mg", "Ga", "Li", "Ga"], "frac_coords": [[0.000, 0.000, 0.500], [0.500, 0.500, 0.500], [0.500, 0.500, 0.000], [0.000, 0.500, 0.243], [0.500, 0.000, 0.757], [0.500, 0.000, 0.228], [0.000, 0.000, 0.000], [0.000, 0.500, 0.772]]}



Record 5
{"formula": "LiNbGaCo", "functional": "PBE-GGA", "state": "relaxed", "lattice": [[4.188, 0.000, 0.000], [0.000, 4.188, 0.000], [0.000, 0.000, 5.923]], "species": ["Ga", "Co", "Co", "Nb", "Li", "Ga", "Li", "Nb"], "frac_coords": [[0.500, 0.500, 0.500], [0.000, 0.500, 0.750], [0.500, 0.000, 0.250], [0.000, 0.000, 0.500], [0.000, 0.500, 0.249], [0.000, 0.000, 0.000], [0.500, 0.000, 0.751], [0.500, 0.500, 0.000]]}



It is found that the ρ values, taken in the order of the records, are 7.7; 4.8; 8.1; 5.3; 7.3 g cm⁻³.
It is found that the VASP energy values, taken in the order of the records, are -5.726; -6.043; -5.755; -3.528; -5.863 eV per atom.